Here is Re2Ni at its PBEsol-relaxed geometry from the Alexandria database. Energies are from SCAN.

Properties
**Spin magnetization**: 0.000 μB/f.u.
**Energy of formation**: 4 kJ/mol of formula units
**Energy relative to the lowest polymorph listed for this composition**: 0.16 eV per formula unit
**SG**: No. 189
**E_tot**: -52.776 eV/atom
**DOS at the Fermi energy**: 0.994 states/eV/atom

a = 2.6641 Å, b = 7.1774 Å, c = 7.1774 Å
α = 120.00°, β = 90.00°, γ = 90.00°
Last column: nearest neighbours and their distance in Å.
Fractional positions:
Ni1 0.5000 0.0000 0.0000  9 Re 2.55-2.61, 2 Ni 2.66
Ni2 0.0000 0.6667 0.3333  9 Re 2.51-2.65, 2 Ni 2.66
Ni3 0.0000 0.3333 0.6667  9 Re 2.51-2.65, 2 Ni 2.66
Re1 0.0000 0.0000 0.3030  4 Ni 2.51-2.55, 8 Re 2.66-2.76
Re2 0.5000 0.0000 0.6368  5 Ni 2.61-2.65, 8 Re 2.66-2.76
Re3 0.0000 0.6970 0.6970  4 Ni 2.51-2.55, 8 Re 2.66-2.76
Re4 0.0000 0.3030 0.0000  4 Ni 2.51-2.55, 8 Re 2.66-2.76
Re5 0.5000 0.3632 0.3632  5 Ni 2.61-2.65, 8 Re 2.66-2.76
Re6 0.5000 0.6368 0.0000  5 Ni 2.61-2.65, 8 Re 2.66-2.76



Here is Re3Ni at its PBEsol-relaxed geometry from the Alexandria database. Energies are from SCAN.

Properties
**Spin magnetization**: 0.000 μB/f.u.
**Energy of formation**: 1195 kJ/mol of formula units
**SG**: No. 221
**E_tot**: -54.271 eV/atom
**DOS at the Fermi energy**: 1.132 states/eV/atom

a = 4.3840 Å, b = 4.3840 Å, c = 4.3840 Å
α = 90.00°, β = 90.00°, γ = 90.00°
Last column: nearest neighbours and their distance in Å.
Fractional positions:
Ni1 0.0000 0.0000 0.0000  6 Re 2.19
Re1 0.0000 0.0000 0.5000  2 Ni 2.19
Re2 0.0000 0.5000 0.0000  2 Ni 2.19
Re3 0.5000 0.0000 0.0000  2 Ni 2.19



Here is ReNi3 at its PBEsol-relaxed geometry from the Alexandria database. Energies are from SCAN.

Properties
**Spin magnetization**: 0.032 μB/f.u.
**Energy of formation**: 28 kJ/mol of formula units
**SG**: No. 63
**E_tot**: -29.833 eV/atom
**DOS at the Fermi energy**: 1.266 states/eV/atom

a = 4.0918 Å, b = 5.0476 Å, c = 5.1035 Å
α = 60.36°, β = 90.00°, γ = 90.00°
Last column: nearest neighbours and their distance in Å.
Fractional positions:
Ni1 0.7500 0.0793 0.8415  10 Ni 2.48-2.57, 2 Re 2.52
Ni2 0.2500 0.9207 0.1585  10 Ni 2.48-2.57, 2 Re 2.52
Ni3 0.7500 0.0745 0.3410  8 Ni 2.47-2.57, 4 Re 2.48-2.62
Ni4 0.2500 0.9255 0.6590  8 Ni 2.47-2.57, 4 Re 2.48-2.62
Ni5 0.7500 0.5845 0.3410  8 Ni 2.47-2.57, 4 Re 2.48-2.62
Ni6 0.2500 0.4155 0.6590  8 Ni 2.47-2.57, 4 Re 2.48-2.62
Re1 0.2500 0.4129 0.1742  10 Ni 2.48-2.62, 2 Re 2.56
Re2 0.7500 0.5871 0.8258  10 Ni 2.48-2.62, 2 Re 2.56



- Among the records above, which one has the highest energy of formation?
  Re3Ni